Entry 1:
K3MgTl | PBE-GGA | optimized geometry

Values from the calculation:
Crystal system ... cubic
Relative energy among the computed polymorphs ... 0 meV per atom
ΔH_f (0 K) ... 0.299 eV/atom

a = 6.7986 Å, b = 6.7986 Å, c = 6.7986 Å
α = 90.00°, β = 90.00°, γ = 90.00°
Last column: nearest neighbours and their distance in Å.
Fractional positions:
K: 0.0000 0.0000 0.5000  2 Tl 3.40
K: 0.0000 0.5000 0.0000  2 Tl 3.40
K: 0.5000 0.0000 0.0000  2 Tl 3.40
Mg: 0.5000 0.5000 0.5000  12 K 4.81
Tl: 0.0000 0.0000 0.0000  6 K 3.40



Entry 2:
K5MgTl4 | PBE-GGA | optimized geometry

Values from the calculation:
Crystal system ... monoclinic
ΔH_f (0 K) ... -0.056 eV/atom

a = 11.0712 Å, b = 11.0712 Å, c = 9.0531 Å
α = 109.94°, β = 109.94°, γ = 26.19°
Last column: nearest neighbours and their distance in Å.
Fractional positions:
K: 0.0000 0.0000 0.0000  6 Tl 3.82-3.87
K: 0.3102 0.3102 0.9128  4 Tl 3.60-3.94
K: 0.3471 0.3471 0.4875  4 Tl 3.70-3.74, 2 Mg 4.11
K: 0.6529 0.6529 0.5125  4 Tl 3.70-3.74, 2 Mg 4.11
K: 0.6898 0.6898 0.0872  4 Tl 3.60-3.94
Mg: 0.0000 0.0000 0.5000  6 Tl 3.04-3.08
Tl: 0.1269 0.1269 0.7862  1 Mg 3.04, 2 Tl 3.22
Tl: 0.4730 0.4730 0.2894  2 Mg 3.08, 2 Tl 3.22
Tl: 0.5270 0.5270 0.7106  2 Mg 3.08, 2 Tl 3.22
Tl: 0.8731 0.8731 0.2138  1 Mg 3.04, 2 Tl 3.22



Entry 3:
KMgTl3 | PBE-GGA | optimized geometry

Values from the calculation:
Crystal system ... cubic
Relative energy among the computed polymorphs ... 748 meV per atom
ΔH_f (0 K) ... 0.705 eV/atom

a = 6.1182 Å, b = 6.1182 Å, c = 6.1182 Å
α = 90.00°, β = 90.00°, γ = 90.00°
Last column: nearest neighbours and their distance in Å.
Fractional positions:
K: 0.0000 0.0000 0.0000  6 Tl 3.06
Mg: 0.5000 0.5000 0.5000  12 Tl 4.33
Tl: 0.0000 0.0000 0.5000  2 K 3.06
Tl: 0.0000 0.5000 0.0000  2 K 3.06
Tl: 0.5000 0.0000 0.0000  2 K 3.06



Entry 4:
KMg2Tl | PBE-GGA | optimized geometry

Values from the calculation:
Crystal system ... tetragonal
Relative energy among the computed polymorphs ... 114 meV per atom
ΔH_f (0 K) ... 0.152 eV/atom

a = 4.9209 Å, b = 4.9209 Å, c = 5.1333 Å
α = 90.00°, β = 90.00°, γ = 90.00°
Last column: nearest neighbours and their distance in Å.
Fractional positions:
K: 0.0000 0.0000 0.0000  4 Tl 3.48, 8 Mg 3.56
Mg: 0.0000 0.5000 0.5000  4 Mg 3.48, 4 Tl 3.56, 4 K 3.56
Mg: 0.5000 0.0000 0.5000  4 Mg 3.48, 4 Tl 3.56, 4 K 3.56
Tl: 0.5000 0.5000 0.0000  4 K 3.48, 8 Mg 3.56



Entry 5:
KMg2Tl7 | PBE-GGA | optimized geometry

Values from the calculation:
Crystal system ... orthorhombic
ΔH_f (0 K) ... 0.131 eV/atom

a = 8.7444 Å, b = 8.7444 Å, c = 5.5017 Å
α = 90.00°, β = 90.00°, γ = 120.39°
Last column: nearest neighbours and their distance in Å.
Fractional positions:
K: 0.0000 0.0000 0.0000  10 Tl 3.70-3.72
Mg: 0.3027 0.6973 0.5000  7 Tl 2.89-3.12
Mg: 0.6973 0.3027 0.5000  7 Tl 2.89-3.12
Tl: 0.0590 0.3124 0.5000  2 Mg 2.93-3.12, 1 Tl 3.23
Tl: 0.2441 0.7559 0.0000  2 Mg 2.89
Tl: 0.3124 0.0590 0.5000  2 Mg 2.93-3.12, 1 Tl 3.23
Tl: 0.5000 0.5000 0.5000  2 Mg 2.99, 4 Tl 3.34
Tl: 0.6876 0.9410 0.5000  2 Mg 2.93-3.12, 1 Tl 3.23
Tl: 0.7559 0.2441 0.0000  2 Mg 2.89
Tl: 0.9410 0.6876 0.5000  2 Mg 2.93-3.12, 1 Tl 3.23



Entry 6:
KMg2Tl6 | PBE-GGA | optimized geometry

Values from the calculation:
Crystal system ... monoclinic
Relative energy among the computed polymorphs ... 0 meV per atom
ΔH_f (0 K) ... -0.026 eV/atom

a = 9.8933 Å, b = 9.8933 Å, c = 5.9560 Å
α = 99.59°, β = 99.59°, γ = 72.19°
Last column: nearest neighbours and their distance in Å.
Fractional positions:
K: 0.1118 0.8882 0.7500  10 Tl 3.58-3.85, 2 K 3.96
K: 0.8882 0.1118 0.2500  10 Tl 3.58-3.85, 2 K 3.96
Mg: 0.2314 0.4633 0.8913  8 Tl 3.16-3.47
Mg: 0.4633 0.2314 0.3913  8 Tl 3.16-3.47
Mg: 0.5367 0.7686 0.6087  8 Tl 3.16-3.47
Mg: 0.7686 0.5367 0.1087  8 Tl 3.16-3.47
Tl: 0.0088 0.7004 0.1769  2 Mg 3.16-3.20, 4 Tl 3.26-3.47
Tl: 0.1188 0.3533 0.3599  4 Mg 3.23-3.61, 6 Tl 3.26-3.57
Tl: 0.2996 0.9912 0.3231  2 Mg 3.16-3.20, 4 Tl 3.26-3.47
Tl: 0.3290 0.5670 0.4661  4 Mg 3.16-3.47, 5 Tl 3.22-3.45
Tl: 0.3533 0.1188 0.8599  4 Mg 3.23-3.61, 6 Tl 3.26-3.57
Tl: 0.4330 0.6710 0.0339  4 Mg 3.16-3.47, 5 Tl 3.22-3.45
Tl: 0.5670 0.3290 0.9661  4 Mg 3.16-3.47, 5 Tl 3.22-3.45
Tl: 0.6467 0.8812 0.1401  4 Mg 3.23-3.61, 6 Tl 3.26-3.57
Tl: 0.6710 0.4330 0.5339  4 Mg 3.16-3.47, 5 Tl 3.22-3.45
Tl: 0.7004 0.0088 0.6769  2 Mg 3.16-3.20, 4 Tl 3.26-3.47
Tl: 0.8812 0.6467 0.6401  4 Mg 3.23-3.61, 6 Tl 3.26-3.57
Tl: 0.9912 0.2996 0.8231  2 Mg 3.16-3.20, 4 Tl 3.26-3.47



Entry 7:
K2MgTl | PBE-GGA | optimized geometry

Values from the calculation:
Crystal system ... orthorhombic
ΔH_f (0 K) ... 0.030 eV/atom

a = 4.6549 Å, b = 6.2607 Å, c = 11.2852 Å
α = 90.00°, β = 90.00°, γ = 90.00°
Last column: nearest neighbours and their distance in Å.
Fractional positions:
K: 0.0000 0.0000 0.0000  4 K 3.88-4.08, 4 Mg 3.95-3.98, 4 Tl 3.96
K: 0.0000 0.5000 0.2026  4 Tl 3.78-4.11, 4 K 3.88-4.08, 4 Mg 4.00
K: 0.5000 0.0000 0.7026  4 Tl 3.78-4.11, 4 K 3.88-4.08, 4 Mg 4.00
K: 0.5000 0.5000 0.5000  4 K 3.88-4.08, 4 Mg 3.95-3.98, 4 Tl 3.96
Mg: 0.0000 0.5000 0.7828  2 Tl 2.92
Mg: 0.5000 0.0000 0.2828  2 Tl 2.92
Tl: 0.0000 0.0000 0.4384  2 Mg 2.92
Tl: 0.5000 0.5000 0.9384  2 Mg 2.92



Entry 8:
KMg2Tl | PBE-GGA | optimized geometry

Values from the calculation:
Crystal system ... trigonal
Relative energy among the computed polymorphs ... 104 meV per atom
ΔH_f (0 K) ... 0.142 eV/atom

a = 3.5899 Å, b = 3.5899 Å, c = 33.4873 Å
α = 90.00°, β = 90.00°, γ = 120.00°
Last column: nearest neighbours and their distance in Å.
Fractional positions:
K: 0.0000 0.0000 0.0000  6 K 3.59, 6 Mg 3.82
K: 0.3333 0.6667 0.6667  6 K 3.59, 6 Mg 3.82
K: 0.6667 0.3333 0.3333  6 K 3.59, 6 Mg 3.82
Mg: 0.0000 0.0000 0.2376  3 Tl 3.15
Mg: 0.0000 0.0000 0.7624  3 Tl 3.15
Mg: 0.3333 0.6667 0.4291  3 Tl 3.15
Mg: 0.3333 0.6667 0.9043  3 Tl 3.15
Mg: 0.6667 0.3333 0.0957  3 Tl 3.15
Mg: 0.6667 0.3333 0.5709  3 Tl 3.15
Tl: 0.0000 0.0000 0.5000  6 Mg 3.15
Tl: 0.3333 0.6667 0.1667  6 Mg 3.15
Tl: 0.6667 0.3333 0.8333  6 Mg 3.15



Entry 9:
KMg3Tl4 | PBE-GGA | optimized geometry

Values from the calculation:
Crystal system ... trigonal
ΔH_f (0 K) ... -0.064 eV/atom

a = 11.1338 Å, b = 11.1338 Å, c = 11.1338 Å
α = 26.36°, β = 26.36°, γ = 26.36°
Last column: nearest neighbours and their distance in Å.
Fractional positions:
K: 0.0000 0.0000 0.0000  8 Tl 3.64-4.06
Mg: 0.2289 0.2289 0.2289  7 Tl 3.01-3.31
Mg: 0.5000 0.5000 0.5000  8 Tl 3.21, 6 Mg 3.55
Mg: 0.7711 0.7711 0.7711  7 Tl 3.01-3.31
Tl: 0.1260 0.1260 0.1260  7 Mg 3.01-3.31
Tl: 0.4003 0.4003 0.4003  4 Mg 3.17-3.21, 3 Tl 3.49
Tl: 0.5997 0.5997 0.5997  4 Mg 3.17-3.21, 3 Tl 3.49
Tl: 0.8740 0.8740 0.8740  7 Mg 3.01-3.31



Entry 10:
KMg2Tl | PBE-GGA | optimized geometry

Values from the calculation:
Crystal system ... orthorhombic
Relative energy among the computed polymorphs ... 56 meV per atom
ΔH_f (0 K) ... 0.094 eV/atom

a = 5.3496 Å, b = 5.3710 Å, c = 9.0128 Å
α = 90.00°, β = 90.00°, γ = 90.00°
Last column: nearest neighbours and their distance in Å.
Fractional positions:
K: 0.0000 0.0000 0.0000  4 K 3.79, 8 Mg 3.90-3.91
K: 0.5000 0.5000 0.0000  4 K 3.79, 8 Mg 3.90-3.91
Mg: 0.0000 0.5000 0.3147  4 Tl 3.15-3.16, 1 Mg 3.34
Mg: 0.0000 0.5000 0.6852  4 Tl 3.15-3.16, 1 Mg 3.34
Mg: 0.5000 0.0000 0.3147  4 Tl 3.15-3.16, 1 Mg 3.34
Mg: 0.5000 0.0000 0.6852  4 Tl 3.15-3.16, 1 Mg 3.34
Tl: 0.0000 0.0000 0.5000  8 Mg 3.15-3.16
Tl: 0.5000 0.5000 0.5000  8 Mg 3.15-3.16



Entry 11:
K3Mg2Tl9 | PBE-GGA | optimized geometry

Values from the calculation:
Crystal system ... orthorhombic
ΔH_f (0 K) ... -0.056 eV/atom

a = 9.8275 Å, b = 9.8275 Å, c = 9.8275 Å
α = 149.35°, β = 106.67°, γ = 81.54°
Last column: nearest neighbours and their distance in Å.
Fractional positions:
K: 0.0000 0.0000 0.0000  12 Tl 3.87-3.89
K: 0.2950 0.2950 0.0000  10 Tl 3.66-4.01, 2 Mg 3.72
K: 0.7050 0.7050 0.0000  10 Tl 3.66-4.01, 2 Mg 3.72
Mg: 0.3185 0.5000 0.8185  8 Tl 3.19-3.36
Mg: 0.6815 0.5000 0.1815  8 Tl 3.19-3.36
Tl: 0.0222 0.6612 0.3611  4 Tl 3.13-3.26, 1 Mg 3.19
Tl: 0.1515 0.8678 0.2837  4 Tl 3.13-3.21, 2 Mg 3.28
Tl: 0.3001 0.6612 0.6389  4 Tl 3.13-3.26, 1 Mg 3.19
Tl: 0.4159 0.1322 0.2837  4 Tl 3.13-3.21, 2 Mg 3.28
Tl: 0.5000 0.0000 0.5000  4 Tl 3.21, 4 Mg 3.36
Tl: 0.5841 0.8678 0.7163  4 Tl 3.13-3.21, 2 Mg 3.28
Tl: 0.6999 0.3388 0.3611  4 Tl 3.13-3.26, 1 Mg 3.19
Tl: 0.8485 0.1322 0.7163  4 Tl 3.13-3.21, 2 Mg 3.28
Tl: 0.9778 0.3388 0.6389  4 Tl 3.13-3.26, 1 Mg 3.19



Entry 12:
K2Mg12Tl7 | PBE-GGA | optimized geometry

Values from the calculation:
Crystal system ... trigonal
ΔH_f (0 K) ... -0.031 eV/atom

a = 12.2735 Å, b = 12.2735 Å, c = 4.3663 Å
α = 90.00°, β = 90.00°, γ = 120.00°
Last column: nearest neighbours and their distance in Å.
Fractional positions:
K: 0.3333 0.6667 0.2504  6 Tl 3.56-3.58, 6 Mg 3.87
K: 0.6667 0.3333 0.7496  6 Tl 3.56-3.58, 6 Mg 3.87
Mg: 0.0519 0.4338 0.7515  4 Tl 2.99-3.07, 3 Mg 3.32-3.34
Mg: 0.1070 0.2587 0.2416  4 Tl 2.98-3.10, 1 Mg 3.33
Mg: 0.1517 0.8930 0.2416  4 Tl 2.98-3.10, 1 Mg 3.33
Mg: 0.2587 0.1517 0.7584  4 Tl 2.98-3.10, 1 Mg 3.33
Mg: 0.3819 0.9481 0.7515  4 Tl 2.99-3.07, 3 Mg 3.32-3.34
Mg: 0.4338 0.3819 0.2485  4 Tl 2.99-3.07, 3 Mg 3.32-3.34
Mg: 0.5662 0.6181 0.7515  4 Tl 2.99-3.07, 3 Mg 3.32-3.34
Mg: 0.6181 0.0519 0.2485  4 Tl 2.99-3.07, 3 Mg 3.32-3.34
Mg: 0.7413 0.8483 0.2416  4 Tl 2.98-3.10, 1 Mg 3.33
Mg: 0.8483 0.1070 0.7584  4 Tl 2.98-3.10, 1 Mg 3.33
Mg: 0.8930 0.7413 0.7584  4 Tl 2.98-3.10, 1 Mg 3.33
Mg: 0.9481 0.5662 0.2485  4 Tl 2.99-3.07, 3 Mg 3.32-3.34
Tl: 0.0000 0.0000 0.5000  6 Mg 2.98
Tl: 0.1302 0.7134 0.7477  7 Mg 2.99-3.10
Tl: 0.2866 0.4168 0.7477  7 Mg 2.99-3.10
Tl: 0.4168 0.1302 0.2523  7 Mg 2.99-3.10
Tl: 0.5832 0.8698 0.7477  7 Mg 2.99-3.10
Tl: 0.7134 0.5832 0.2523  7 Mg 2.99-3.10
Tl: 0.8698 0.2866 0.2523  7 Mg 2.99-3.10